(1)
Entry from the Alexandria database: an optimized crystal structure of Hg2RuAu (GGA-PBE).

```
Hg2RuAu
1.0
-0.2537 3.9880 4.0411
-4.4537 3.5278 -0.1324
1.9718 -5.3013 0.5535
Au Hg Ru
1 2 1
direct
0.2500 0.7500 0.5000
0.9925 0.9925 0.0000
0.5075 0.5075 0.0000
0.7500 0.2500 0.5000
```

## Properties
The spin magnetization comes out at 0.9 μB per cell. The calculation puts the energy of formation from the pure elements at 475 meV/atom. For the density of states at the Fermi level, the calculation gives 2.5 states/eV per cell. As for the total energy: -0.10343 Ha/atom. The calculation puts the energy above the most stable polymorph in this dataset at 0.108 eV per atom.

---

(2)
Entry from the Alexandria database: an optimized crystal structure of Hg2RuAu (GGA-PBE).

```
Hg2RuAu
1.0
4.7203 0.0000 0.0000
2.3601 4.0879 0.0000
2.3601 1.3626 3.8541
Au Hg Ru
1 2 1
direct
0.5000 0.5000 0.5000
0.0000 0.0000 0.0000
0.2500 0.2500 0.2500
0.7500 0.7500 0.7500
```

## Properties
The spin magnetization comes out at 0.0 μB per cell. The calculation puts the energy of formation from the pure elements at 525 meV/atom. For the density of states at the Fermi level, the calculation gives 2.6 states/eV per cell. As for the total energy: -0.10157 Ha/atom. The calculation puts the energy above the most stable polymorph in this dataset at 0.159 eV per atom.

---

(3)
Entry from the Alexandria database: an optimized crystal structure of Hg2RuAu (GGA-PBE).

```
Hg2RuAu
1.0
4.3014 0.0000 0.0000
0.0000 4.2994 0.0000
0.0000 0.0000 4.0088
Au Hg Ru
1 2 1
direct
0.0000 0.5000 0.5000
0.0000 0.0000 0.0000
0.5000 0.5000 0.0000
0.5000 0.0000 0.5000
```

## Properties
The spin magnetization comes out at 0.6 μB per cell. The calculation puts the energy of formation from the pure elements at 367 meV/atom. For the density of states at the Fermi level, the calculation gives 2.5 states/eV per cell. As for the total energy: -0.10740 Ha/atom. The calculation puts the energy above the most stable polymorph in this dataset at 0.000 eV per atom.

---

(4)
Entry from the Alexandria database: an optimized crystal structure of Hg2RuAu (GGA-PBE).

```
Hg2RuAu
1.0
-2.0183 -1.1897 -1.8590
-1.6634 -0.8434 2.3381
-4.2187 7.5762 -0.2685
Au Hg Ru
1 2 1
direct
0.5000 0.5000 0.7249
0.0000 0.0000 0.9845
0.5000 0.5000 0.2799
0.0000 0.0000 0.5106
```

## Properties
The spin magnetization comes out at 1.7 μB per cell. The calculation puts the energy of formation from the pure elements at 410 meV/atom. For the density of states at the Fermi level, the calculation gives 2.5 states/eV per cell. As for the total energy: -0.10582 Ha/atom. The calculation puts the energy above the most stable polymorph in this dataset at 0.043 eV per atom.

---

(5)
Entry from the Alexandria database: an optimized crystal structure of HgRu2Au (GGA-PBE).

```
HgRu2Au
1.0
4.9064 0.0000 0.0000
0.0000 2.8165 -0.0362
0.0000 0.0926 4.9183
Au Hg Ru
1 1 2
direct
0.5000 0.2500 0.2500
0.5000 0.7500 0.7500
0.0000 0.9882 0.0139
0.0000 0.5118 0.4861
```

## Properties
The spin magnetization comes out at 1.7 μB per cell. The calculation puts the energy of formation from the pure elements at 630 meV/atom. For the density of states at the Fermi level, the calculation gives 4.1 states/eV per cell. As for the total energy: -0.18017 Ha/atom.

---

(6)
Entry from the Alexandria database: an optimized crystal structure of HgRu2Au (GGA-PBE).

```
HgRu2Au
1.0
5.0152 -0.0389 0.0000
-1.7447 4.7021 0.0000
0.0000 0.0000 2.8677
Au Hg Ru
1 1 2
direct
0.5000 0.0000 0.5000
0.0000 0.5000 0.5000
0.0000 0.0000 0.0000
0.5000 0.5000 0.0000
```

## Properties
The spin magnetization comes out at 2.9 μB per cell. The calculation puts the energy of formation from the pure elements at 623 meV/atom. For the density of states at the Fermi level, the calculation gives 4.1 states/eV per cell. As for the total energy: -0.18044 Ha/atom.

---

(7)
Entry from the Alexandria database: an optimized crystal structure of HgRu2Au (GGA-PBE).

```
HgRu2Au
1.0
2.8419 0.0000 0.0000
0.0000 3.6552 0.0000
0.0000 0.0000 6.5621
Au Hg Ru
1 1 2
direct
0.0000 0.0000 0.4782
0.5000 0.5000 0.7626
0.0000 0.0000 0.0430
0.5000 0.5000 0.2162
```

## Properties
The spin magnetization comes out at 0.0 μB per cell. The calculation puts the energy of formation from the pure elements at 330 meV/atom. For the density of states at the Fermi level, the calculation gives 2.6 states/eV per cell. As for the total energy: -0.19121 Ha/atom.

---

(8)
Entry from the Alexandria database: an optimized crystal structure of HgRuAu2 (GGA-PBE).

```
HgRuAu2
1.0
2.9629 -0.0038 0.0000
0.0053 2.9629 0.0000
0.0000 0.0000 8.2545
Au Hg Ru
2 1 1
direct
0.0000 0.0000 0.9798
0.0000 0.0000 0.5202
0.5000 0.5000 0.2500
0.5000 0.5000 0.7500
```

## Properties
The spin magnetization comes out at 1.7 μB per cell. The calculation puts the energy of formation from the pure elements at 347 meV/atom. For the density of states at the Fermi level, the calculation gives 2.3 states/eV per cell. As for the total energy: -0.13544 Ha/atom.

---

(9)
Entry from the Alexandria database: an optimized crystal structure of HgRuAu (GGA-PBE).

```
HgRuAu
1.0
5.1776 0.0613 -0.0240
2.7636 4.3788 0.0240
-3.6175 -2.8516 2.3652
Au Hg Ru
1 1 1
direct
0.9937 0.9937 0.0000
0.6695 0.6695 0.0000
0.3368 0.3368 0.0000
```

## Properties
The spin magnetization comes out at 1.3 μB per cell. The calculation puts the energy of formation from the pure elements at 538 meV/atom. For the density of states at the Fermi level, the calculation gives 3.1 states/eV per cell. As for the total energy: -0.13770 Ha/atom. The calculation puts the energy above the most stable polymorph in this dataset at 0.093 eV per atom.

---

(10)
Entry from the Alexandria database: an optimized crystal structure of HgRuAu2 (GGA-PBE).

```
HgRuAu2
1.0
-7.1400 1.3440 -6.7011
-7.7900 -1.3930 -5.9217
-8.8249 0.8516 -4.3688
Au Hg Ru
2 1 1
direct
0.0056 0.0056 0.0056
0.4944 0.4944 0.4944
0.2500 0.2500 0.2500
0.7500 0.7500 0.7500
```

## Properties
The spin magnetization comes out at 0.9 μB per cell. The calculation puts the energy of formation from the pure elements at 341 meV/atom. For the density of states at the Fermi level, the calculation gives 3.5 states/eV per cell. As for the total energy: -0.13568 Ha/atom.

---

(11)
Entry from the Alexandria database: an optimized crystal structure of HgRuAu (GGA-PBE).

```
HgRuAu
1.0
2.9407 0.0000 0.0000
-1.4704 2.5467 0.0000
0.0000 0.0000 7.0970
Au Hg Ru
1 1 1
direct
0.0000 0.0000 0.9871
0.6667 0.3333 0.3425
0.3333 0.6667 0.6705
```

## Properties
The spin magnetization comes out at 1.0 μB per cell. The calculation puts the energy of formation from the pure elements at 457 meV/atom. For the density of states at the Fermi level, the calculation gives 2.1 states/eV per cell. As for the total energy: -0.14068 Ha/atom. The calculation puts the energy above the most stable polymorph in this dataset at 0.012 eV per atom.

---

(12)
Entry from the Alexandria database: an optimized crystal structure of HgRu2Au (GGA-PBE).

```
HgRu2Au
1.0
-1.7015 2.9915 3.5852
-2.3627 0.3060 4.3614
3.9056 -0.0734 3.0733
Au Hg Ru
1 1 2
direct
0.2500 0.2500 0.2500
0.7500 0.7500 0.7500
0.9982 0.9982 0.0169
0.5018 0.5018 0.4831
```

## Properties
The spin magnetization comes out at 2.0 μB per cell. The calculation puts the energy of formation from the pure elements at 556 meV/atom. For the density of states at the Fermi level, the calculation gives 4.4 states/eV per cell. As for the total energy: -0.18289 Ha/atom.